# ErMgAl4Pt2 GGA-PBE relaxed
# crystal system	orthorhombic
# calculated total energy	-4.37	eV per atom
# space-group type	Amm2
data_ErMgAl4Pt2
_space_group_name_H-M_alt 'P 1'
_space_group_IT_number 1
_cell_length_a 5.8257
_cell_length_b 7.6154
_cell_length_c 7.6154
_cell_angle_alpha 36.51
_cell_angle_beta 90.00
_cell_angle_gamma 90.00
loop_
_space_group_symop_operation_xyz
'x,y,z'
loop_
_atom_site_label
_atom_site_type_symbol
_atom_site_fract_x
_atom_site_fract_y
_atom_site_fract_z
_atom_site_occupancy
Pt1 Pt 0.5000 0.2198 0.2198 1
Al1 Al 0.2470 0.7990 0.7990 1
Mg1 Mg 0.5000 0.6238 0.6238 1
Al2 Al 0.7882 0.0944 0.0944 1
Er1 Er 0.5000 0.3990 0.3990 1
Al3 Al 0.7530 0.7990 0.7990 1
Al4 Al 0.2118 0.0944 0.0944 1
Pt2 Pt 0.5000 0.9706 0.9706 1